[1]
## SrCa2Cu2 (GGA-PBE)

Data for an optimized crystal structure of SrCa2Cu2.

Cell lengths 4.266, 6.207, 11.450 Å; angles 90.00, 100.74, 90.00 degrees
Element x y z (fractional)
1 Sr 0.899 0.346 0.798
2 Sr 0.101 0.846 0.202
3 Ca 0.727 0.575 0.455
4 Ca 0.273 0.075 0.545
5 Ca 0.558 0.343 0.116
6 Ca 0.442 0.843 0.884
7 Cu 0.846 0.821 0.691
8 Cu 0.154 0.321 0.309
9 Cu 0.675 0.119 0.351
10 Cu 0.325 0.619 0.649

Properties
Energy above the most stable polymorph in this dataset = 0 meV per atom
Energy of formation = -0.108 eV/atom

***

[2]
## Li2BePb (GGA-PBE)

Data for an optimized crystal structure of Li2BePb.

Cell lengths 7.557, 7.557, 5.959 Å; angles 50.65, 50.65, 90.00 degrees
Element x y z (fractional)
1 Pb 0.000 0.000 0.000
2 Pb 0.750 0.250 0.500
3 Be 0.500 0.500 0.000
4 Be 0.250 0.750 0.500
5 Li 0.582 0.125 0.250
6 Li 0.168 0.625 0.250
7 Li 0.375 0.418 0.750
8 Li 0.875 0.832 0.750

Properties
Energy above the most stable polymorph in this dataset = 313 meV per atom
Energy of formation = 0.297 eV/atom

***

[3]
## NaGaPS2 (GGA-PBE)

Data for an optimized crystal structure of NaGaPS2.

Cell lengths 5.050, 5.050, 5.119 Å; angles 90.00, 90.00, 90.00 degrees
Each line ends with the local moment (μB).
Element x y z (fractional)
1 P 0.000 0.000 0.500  0.70
2 S 0.000 0.500 0.000  0.45
3 S 0.500 0.000 0.000  0.45
4 Ga 0.500 0.500 0.500  0.03
5 Na 0.000 0.000 0.000  0.01

Properties
Energy above the most stable polymorph in this dataset = 784 meV per atom

***

[4]
## In2WSe (GGA-PBE)

Data for an optimized crystal structure of In2WSe.

Cell lengths 5.718, 5.718, 5.171 Å; angles 74.14, 74.14, 31.55 degrees
Element x y z (fractional)
1 In 0.035 0.035 0.922
2 In 0.242 0.242 0.283
3 Se 0.446 0.446 0.508
4 W 0.777 0.777 0.786

Properties
Total energy = -5.2618 eV/atom

***

The calculation returns the following mass density values, one per record and in order: 3.29; 5.07; 2.39; 9.64 g cm⁻³.